First-principles (PBE) data for a relaxed structure of Rb4ScBr7, as listed in Alexandria via LeMat-Bulk.

Values from the calculation:
As for the crystal system: monoclinic. Its space-group type is No. 12. For the formation energy without anion corrections, the calculation gives -1.52 eV per atom.

abc: 5.282 10.098 11.137
angles: 86.34 76.28 74.84
Site moments in Bohr magnetons follow the coordinates.
Element x y z (fractional)
Rb: 0.640 0.217 0.503  0.00
Rb: 0.360 0.783 0.497  0.00
Rb: 0.774 0.621 0.830  0.00
Rb: 0.226 0.379 0.170  0.00
Sc: 0.000 0.000 0.000  0.00
Br: 0.710 0.913 0.668  0.00
Br: 0.290 0.087 0.332  0.00
Br: 0.109 0.746 0.036  0.00
Br: 0.891 0.254 0.964  0.00
Br: 0.407 0.490 0.695  0.08
Br: 0.500 0.000 0.000  0.00
Br: 0.593 0.510 0.305  0.08